# 1
CsPtPb4: optimized geometry, PBE.

a = 5.8606 Å, b = 8.9178 Å, c = 18.1114 Å
α = 90.00°, β = 90.00°, γ = 90.00°
With the nearest neighbours (Å) after each atom.
Space group Immm (No. 71)
Unique sites:
Cs: 0.0000 0.0000 0.1947 x4  10 Pb 4.03-4.33
Pt: 0.2484 0.0000 0.5000 x4  8 Pb 2.90-2.91, 2 Pt 2.91-2.95
Pb: 0.0000 0.2021 0.4031 x8  2 Pt 2.91
Pb: 0.0000 0.2191 0.0000 x4  2 Pt 2.91
Pb: 0.0000 0.5000 0.1377 x4  2 Pt 2.90

Output
Density of states at the Fermi level in states/eV/atom: 0.23
ΔH_f (0 K) in eV per formula unit: -1.37
Crystal system: orthorhombic
Offset from the most stable computed form in meV per atom: 0
Total moment in μB per atom: 0.000

=====

# 2
TcSnMo3: optimized geometry, PBE.

a = 4.7939 Å, b = 4.7939 Å, c = 4.7939 Å
α = 90.00°, β = 90.00°, γ = 90.00°
With the nearest neighbours (Å) after each atom.
Space group Pm-3m (No. 221)
Unique sites:
Tc: 0.0000 0.0000 0.0000 x1  12 Mo 3.39
Sn: 0.5000 0.5000 0.5000 x1  6 Mo 2.40
Mo: 0.0000 0.5000 0.5000 x3  2 Sn 2.40

Output
Density of states at the Fermi level in states/eV/atom: 1.95
ΔH_f (0 K) in eV per formula unit: 12.79
Crystal system: cubic
Total moment in μB per atom: 0.000

=====

# 3
Tb5Pr6Er: optimized geometry, PBE.

a = 5.1694 Å, b = 10.1762 Å, c = 15.4559 Å
α = 90.00°, β = 90.00°, γ = 90.00°
With the nearest neighbours (Å) after each atom.
Space group Immm (No. 71)
Unique sites:
Tb: 0.0000 0.0000 0.0000 x2  8 Pr 3.62-3.63, 4 Tb 3.65
Tb: 0.0000 0.0000 0.3336 x4  8 Pr 3.61-3.63, 2 Er 3.65, 2 Tb 3.65
Tb: 0.0000 0.5000 0.3334 x4  8 Pr 3.62-3.63, 4 Tb 3.65
Pr: 0.0000 0.2494 0.5000 x4  6 Tb 3.61-3.63, 2 Er 3.62, 4 Pr 3.65
Pr: 0.0000 0.2504 0.1666 x8  1 Er 3.62, 7 Tb 3.62-3.63, 4 Pr 3.65
Er: 0.0000 0.5000 0.0000 x2  8 Pr 3.62, 4 Tb 3.65

Output
Density of states at the Fermi level in states/eV/atom: 1.34
ΔH_f (0 K) in eV per formula unit: 0.19
Crystal system: orthorhombic
Offset from the most stable computed form in meV per atom: 5
Total moment in μB per atom: 0.000

=====

# 4
NdNpZnO6: optimized geometry, PBE.

a = 5.3948 Å, b = 5.3948 Å, c = 10.3723 Å
α = 90.00°, β = 90.00°, γ = 120.00°
With the nearest neighbours (Å) after each atom.
Space group P-31c (No. 163)
Unique sites:
Nd: 0.0000 0.0000 0.0000 x2  6 O 2.40
Np: 0.3333 0.6667 0.2500 x2  6 O 2.03
Zn: 0.3333 0.6667 0.7500 x2  6 O 2.14
O: 0.0154 0.3625 0.1398 x12  1 Np 2.03, 1 Zn 2.14

Output
E_form (uncorrected) in eV/atom: -2.514
Crystal system: trigonal
Total moment in μB per atom: 0.000

=====

# 5
KSb2As: optimized geometry, PBE.

a = 3.7035 Å, b = 5.7147 Å, c = 10.8022 Å
α = 90.00°, β = 90.00°, γ = 90.00°
With the nearest neighbours (Å) after each atom.
Space group Immm (No. 71)
Unique sites:
K: 0.0000 0.0000 0.0000 x2  4 As 3.40, 8 Sb 3.59-3.72, 2 K 3.70
Sb: 0.0000 0.5000 0.2013 x4  2 As 2.86
As: 0.0000 0.0000 0.5000 x2  4 Sb 2.86

Output
Density of states at the Fermi level in states/eV/atom: 0.49
E_form (uncorrected) in eV/atom: -0.050
Crystal system: orthorhombic
Total moment in μB per atom: 0.000

=====

# 6
Nb4Mo2W: optimized geometry, PBE.

a = 6.5986 Å, b = 6.5986 Å, c = 5.9103 Å
α = 90.00°, β = 90.00°, γ = 90.00°
With the nearest neighbours (Å) after each atom.
Space group I4/mmm (No. 139)
Unique sites:
Nb: 0.2130 0.2130 0.0000 x8  1 W 2.68, 4 Mo 2.78, 2 Nb 2.81
Mo: 0.0000 0.5000 0.2500 x4  8 Nb 2.78, 2 Mo 2.96
W: 0.0000 0.0000 0.5000 x2  4 Nb 2.68

Output
Density of states at the Fermi level in states/eV/atom: 0.77
ΔH_f (0 K) in eV per formula unit: 3.75
Crystal system: tetragonal
Offset from the most stable computed form in meV per atom: 280
Total moment in μB per atom: 0.000

=====

# 7
Ba2Ag2Br: optimized geometry, PBE.

a = 8.3437 Å, b = 4.8460 Å, c = 9.3035 Å
α = 90.00°, β = 107.29°, γ = 90.00°
With the nearest neighbours (Å) after each atom.
Space group C2/m (No. 12)
Unique sites:
Ba: 0.0815 0.0000 0.2437 x4  6 Ag 3.50-3.56, 3 Br 3.60
Ag: 0.1686 0.5000 0.0045 x4  3 Ag 2.79
Br: 0.0000 0.5000 0.5000 x2  6 Ba 3.60

Output
Density of states at the Fermi level in states/eV/atom: 0.73
E_form (uncorrected) in eV/atom: -0.839
Crystal system: monoclinic
Offset from the most stable computed form in meV per atom: 0
Total moment in μB per atom: 0.000

=====

# 8
BiTeC: optimized geometry, PBE.

a = 4.7121 Å, b = 4.2180 Å, c = 9.1117 Å
α = 90.00°, β = 97.54°, γ = 90.00°
With the nearest neighbours (Å) after each atom.
Space group Pm (No. 6)
Unique sites:
Bi: 0.0000 0.0000 0.0000 x1  2 C 2.32
Bi: 0.3067 0.0000 0.7166 x1  2 Te 2.98, 1 Bi 3.12
Te: 0.5354 0.0000 0.2913 x1  2 C 2.16
Te: 0.8718 0.5000 0.6239 x1  2 Bi 2.98
C: 0.2909 0.3427 0.1519 x2  1 C 1.33

Output
Density of states at the Fermi level in states/eV/atom: 0.07
E_form (uncorrected) in eV/atom: 0.578
Crystal system: monoclinic
Offset from the most stable computed form in meV per atom: 23
Total moment in μB per atom: 0.000

=====

> Which value of total moment does entry 2 give?

0.000 μB per atom